Here is an optimized crystal structure of ZrAlPb2I from the Alexandria database. Energies are from PBE.

Results
Formation energy (no corrections) in eV per formula unit: 2.24
Fermi-level density of states in states/eV/atom: 0.826
Magnetic moment in μB/cell: 0.00

a b c (Å): 5.7500 5.7500 5.6304
angles (deg): 90.00 90.00 90.00
With the nearest neighbours (Å) after each atom.
Space group P4/mmm (No. 123)
One atom of each set of equivalent atoms:
Zr  0.0000  0.0000  0.0000 (multiplicity 1)  2 I 2.82, 4 Pb 2.87
Al  0.5000  0.5000  0.5000 (multiplicity 1)  8 Pb 4.02, 4 I 4.07
Pb  0.0000  0.5000  0.0000 (multiplicity 2)  2 Zr 2.87
I  0.0000  0.0000  0.5000 (multiplicity 1)  2 Zr 2.82

Here is an optimized crystal structure of AlPdI3 from the Alexandria database. Energies are from PBE.

Results
Formation energy (no corrections) in eV per formula unit: 0.14
Fermi-level density of states in states/eV/atom: 0.264
Energy relative to the lowest polymorph listed for this composition in meV/atom: 0
Magnetic moment in μB/cell: 0.00

a b c (Å): 5.5367 5.5367 5.5367
angles (deg): 90.00 90.00 90.00
With the nearest neighbours (Å) after each atom.
Space group Pm-3m (No. 221)
One atom of each set of equivalent atoms:
Al  0.0000  0.0000  0.0000 (multiplicity 1)  12 I 3.92
Pd  0.5000  0.5000  0.5000 (multiplicity 1)  6 I 2.77
I  0.0000  0.5000  0.5000 (multiplicity 3)  2 Pd 2.77

Here is an optimized crystal structure of AlPd5I2 from the Alexandria database. Energies are from PBE.

Results
Formation energy (no corrections) in eV per formula unit: -3.28
Fermi-level density of states in states/eV/atom: 0.541
Magnetic moment in μB/cell: 0.00

a b c (Å): 4.1077 4.1077 20.4082
angles (deg): 90.00 90.00 90.00
With the nearest neighbours (Å) after each atom.
Space group I4/mmm (No. 139)
One atom of each set of equivalent atoms:
Al  0.0000  0.0000  0.0000 (multiplicity 2)  12 Pd 2.70-2.90
Pd  0.0000  0.0000  0.5000 (multiplicity 2)  8 Pd 2.70, 4 Al 2.90
Pd  0.0000  0.5000  0.0861 (multiplicity 8)  2 Al 2.70, 6 Pd 2.70-2.90, 2 I 2.77
I  0.0000  0.0000  0.3231 (multiplicity 4)  4 Pd 2.77

Here is an optimized crystal structure of AlPdI from the Alexandria database. Energies are from PBE.

Results
Formation energy (no corrections) in eV per formula unit: -0.28
Fermi-level density of states in states/eV/atom: 0.324
Magnetic moment in μB/cell: 0.00

a b c (Å): 11.1921 3.7684 6.5250
angles (deg): 90.00 90.00 90.00
With the nearest neighbours (Å) after each atom.
Space group Amm2 (No. 38)
One atom of each set of equivalent atoms:
Al  0.1267  0.0000  0.0000 (multiplicity 4)  3 Pd 2.59-2.60, 1 Al 2.84
Pd  0.0000  0.0000  0.6676 (multiplicity 2)  6 Al 2.59-2.60
Pd  0.5000  0.0000  0.7579 (multiplicity 2)  4 I 2.74
I  0.3233  0.0000  0.2914 (multiplicity 4)  2 Pd 2.74, 1 Al 2.91

Here is an optimized crystal structure of AlPd2I from the Alexandria database. Energies are from PBE.

Results
Formation energy (no corrections) in eV per formula unit: -0.02
Fermi-level density of states in states/eV/atom: 0.177
Energy relative to the lowest polymorph listed for this composition in meV/atom: 73
Magnetic moment in μB/cell: 0.00

a b c (Å): 6.6932 6.6932 6.6932
angles (deg): 90.00 90.00 90.00
With the nearest neighbours (Å) after each atom.
Space group Fm-3m (No. 225)
One atom of each set of equivalent atoms:
Al  0.0000  0.0000  0.0000 (multiplicity 4)  8 Pd 2.90
Pd  0.2500  0.2500  0.2500 (multiplicity 8)  4 Al 2.90, 4 I 2.90
I  0.0000  0.0000  0.5000 (multiplicity 4)  8 Pd 2.90

Here is an optimized crystal structure of AlPdI2 from the Alexandria database. Energies are from PBE.

Results
Formation energy (no corrections) in eV per formula unit: 1.17
Fermi-level density of states in states/eV/atom: 0.912
Energy relative to the lowest polymorph listed for this composition in meV/atom: 182
Magnetic moment in μB/cell: 0.00

a b c (Å): 7.3510 7.3510 7.3510
angles (deg): 90.00 90.00 90.00
With the nearest neighbours (Å) after each atom.
Space group Fm-3m (No. 225)
One atom of each set of equivalent atoms:
Al  0.0000  0.0000  0.0000 (multiplicity 4)  8 I 3.18
Pd  0.0000  0.0000  0.5000 (multiplicity 4)  8 I 3.18
I  0.2500  0.2500  0.2500 (multiplicity 8)  4 Al 3.18, 4 Pd 3.18